DFT (PBE-GGA) results for an optimized crystal structure of Tm3In3AgRu2.

Cell and atoms, written as POSCAR:
```
Tm3In3AgRu2
1.0
-1.532 3.494 0.220
-3.434 -1.081 -6.734
-3.561 -1.969 6.462
Tm In Ag Ru
3 3 1 2
direct
0.000 0.591 0.591
0.000 0.000 0.409
0.000 0.409 0.000
0.500 0.728 0.000
0.500 0.000 0.728
0.500 0.272 0.272
0.000 0.000 0.000
0.500 0.667 0.333
0.500 0.333 0.667
```

The density is 10.0 g/cm³. Its space group is P-62m. The calculated formation energy is -0.3812 eV/atom. Its raw total energy is -5.163 eV per atom.